# 1
Sr2AgN | PBE-GGA | optimized geometry

Cell lengths 6.801, 6.801, 6.801 Å; angles 113.96, 113.96, 100.83 degrees
Atoms (fractional coordinates):
Sr1 0.032 0.625 0.907
Sr2 0.375 0.282 0.407
Sr3 0.718 0.125 0.093
Sr4 0.875 0.968 0.593
Ag1 0.250 0.750 0.500
Ag2 0.500 0.500 0.000
N1 0.000 0.000 0.000
N2 0.750 0.250 0.500

***

# 2
SrAgN2 | PBE-GGA | optimized geometry

Cell lengths 6.697, 6.697, 6.697 Å; angles 31.54, 31.54, 31.54 degrees
Atoms (fractional coordinates):
Sr1 0.000 0.000 0.000
Ag1 0.500 0.500 0.500
N1 0.125 0.125 0.125
N2 0.875 0.875 0.875

***

# 3
Sr4Ag2N | PBE-GGA | optimized geometry

Cell lengths 7.497, 7.642, 8.963 Å; angles 90.00, 107.62, 90.00 degrees
Atoms (fractional coordinates):
Sr1 0.027 0.014 0.248
Sr2 0.027 0.486 0.248
Sr3 0.409 0.250 0.578
Sr4 0.424 0.250 0.132
Sr5 0.576 0.750 0.868
Sr6 0.591 0.750 0.422
Sr7 0.973 0.514 0.752
Sr8 0.973 0.986 0.752
Ag1 0.209 0.750 0.552
Ag2 0.253 0.750 0.062
Ag3 0.747 0.250 0.938
Ag4 0.791 0.250 0.448
N1 0.242 0.250 0.307
N2 0.758 0.750 0.693

***

# 4
Sr8Ag2N | PBE-GGA | optimized geometry

Cell lengths 8.131, 8.131, 8.254 Å; angles 90.62, 90.62, 55.17 degrees
Atoms (fractional coordinates):
Sr1 0.188 0.188 0.904
Sr2 0.197 0.728 0.783
Sr3 0.272 0.803 0.217
Sr4 0.305 0.305 0.400
Sr5 0.695 0.695 0.600
Sr6 0.728 0.197 0.783
Sr7 0.803 0.272 0.217
Sr8 0.812 0.812 0.096
Ag1 0.100 0.100 0.539
Ag2 0.900 0.900 0.461
N1 0.000 0.000 0.000

***

# 5
SrAg2N | PBE-GGA | optimized geometry

Cell lengths 7.456, 7.456, 7.456 Å; angles 135.89, 135.89, 64.16 degrees
Atoms (fractional coordinates):
Sr1 0.375 0.625 0.750
Sr2 0.625 0.375 0.250
Ag1 0.000 0.000 0.000
Ag2 0.000 0.000 0.500
Ag3 0.000 0.500 0.000
Ag4 0.500 0.000 0.500
N1 0.125 0.875 0.250
N2 0.875 0.125 0.750

***

# 6
Sr6Ag3N | PBE-GGA | optimized geometry

Cell lengths 7.479, 8.269, 12.890 Å; angles 90.00, 122.58, 90.00 degrees
Atoms (fractional coordinates):
Sr1 0.100 0.034 0.227
Sr2 0.100 0.466 0.727
Sr3 0.210 0.714 0.059
Sr4 0.210 0.786 0.559
Sr5 0.348 0.163 0.053
Sr6 0.348 0.337 0.553
Sr7 0.652 0.663 0.447
Sr8 0.652 0.837 0.947
Sr9 0.790 0.214 0.441
Sr10 0.790 0.286 0.941
Sr11 0.900 0.534 0.273
Sr12 0.900 0.966 0.773
Ag1 0.301 0.100 0.756
Ag2 0.301 0.400 0.256
Ag3 0.500 0.000 0.500
Ag4 0.500 0.500 0.000
Ag5 0.699 0.600 0.744
Ag6 0.699 0.900 0.244
N1 0.000 0.000 0.000
N2 0.000 0.500 0.500

***

| no. | ΔE_f (raw) (meV per atom) | DOS at the Fermi energy (states/eV/cell) | energy (eV per atom) |
| --- | --- | --- | --- |
| 1 | -271 | 0.000 | -3.906 |
| 2 | 1359 | 2.853 | -3.937 |
| 3 | -307 | 8.915 | -3.272 |
| 4 | -210 | 9.375 | -2.708 |
| 5 | 454 | 5.788 | -3.474 |
| 6 | -301 | 11.212 | -2.998 |